Record 1
Compound: CeSm2TmAs4
Source: Alexandria via LeMat-Bulk
Functional: PBE
Structure: optimized geometry

Results
Energy = -50.40 eV per cell
DFT formation energy = -1.495 eV per atom
Density = 7.33 Mg/m³

Cell: 7.2203 4.1773 7.2373 Å, 90.00 109.40 90.00°
With the nearest neighbours (Å) after each atom.
Fractional positions:
Ce (0.0000, 0.0000, 0.0000)  6 As 2.93-2.94
Sm (0.0000, 0.5000, 0.5000)  6 As 2.99
Sm (0.5000, 0.0000, 0.5000)  6 As 2.97
Tm (0.5000, 0.5000, 0.0000)  6 As 2.91-2.92
As (0.2513, 0.5000, 0.2449)  1 Tm 2.91, 2 Ce 2.94, 3 Sm 2.97-2.99
As (0.2550, 0.0000, 0.7579)  2 Tm 2.92, 1 Ce 2.93, 3 Sm 2.97-2.99
As (0.7450, 0.0000, 0.2421)  2 Tm 2.92, 1 Ce 2.93, 3 Sm 2.97-2.99
As (0.7487, 0.5000, 0.7551)  1 Tm 2.91, 2 Ce 2.94, 3 Sm 2.97-2.99

***

Record 2
Compound: Ce3Sm2TmAs6
Source: Alexandria via LeMat-Bulk
Functional: PBE
Structure: optimized geometry

Results
Energy = -77.28 eV per cell
DFT formation energy = -1.472 eV per atom
Density = 7.13 Mg/m³

Cell: 7.2618 7.2618 7.2522 Å, 99.62 99.62 120.00°
With the nearest neighbours (Å) after each atom.
Fractional positions:
Ce (0.0000, 0.0000, 0.0000)  6 As 2.95-3.00
Ce (0.3320, 0.6680, 0.0000)  6 As 2.95-2.99
Ce (0.6680, 0.3320, 0.0000)  6 As 2.95-2.99
Sm (0.1662, 0.8338, 0.5000)  6 As 2.97-2.98
Sm (0.8338, 0.1662, 0.5000)  6 As 2.97-2.98
Tm (0.5000, 0.5000, 0.5000)  6 As 2.92-2.93
As (0.0893, 0.4174, 0.2518)  1 Tm 2.92, 3 Ce 2.95-2.99, 2 Sm 2.97-2.98
As (0.2554, 0.2554, 0.7497)  1 Tm 2.93, 3 Ce 2.96-3.00, 2 Sm 2.97
As (0.4174, 0.0893, 0.2518)  1 Tm 2.92, 3 Ce 2.95-2.99, 2 Sm 2.97-2.98
As (0.5826, 0.9107, 0.7482)  1 Tm 2.92, 3 Ce 2.95-2.99, 2 Sm 2.97-2.98
As (0.7446, 0.7446, 0.2503)  1 Tm 2.93, 3 Ce 2.96-3.00, 2 Sm 2.97
As (0.9107, 0.5826, 0.7482)  1 Tm 2.92, 3 Ce 2.95-2.99, 2 Sm 2.97-2.98

***

Record 3
Compound: CeSm2UAs4
Source: Alexandria via LeMat-Bulk
Functional: PBE
Structure: optimized geometry

Results
Energy = -55.66 eV per cell
DFT formation energy = -1.300 eV per atom
Density = 7.86 Mg/m³

Cell: 7.2272 4.1645 7.2771 Å, 90.00 109.26 90.00°
With the nearest neighbours (Å) after each atom.
Fractional positions:
Ce (0.0000, 0.0000, 0.0000)  6 As 2.95-2.96
Sm (0.0000, 0.5000, 0.5000)  6 As 3.00-3.01
Sm (0.5000, 0.0000, 0.5000)  6 As 2.96
U (0.5000, 0.5000, 0.0000)  6 As 2.91-2.92
As (0.2534, 0.5000, 0.2448)  1 U 2.91, 2 Ce 2.95, 3 Sm 2.96-3.01
As (0.2569, 0.0000, 0.7570)  2 U 2.92, 1 Ce 2.96, 3 Sm 2.96-3.00
As (0.7431, 0.0000, 0.2430)  2 U 2.92, 1 Ce 2.96, 3 Sm 2.96-3.00
As (0.7466, 0.5000, 0.7552)  1 U 2.91, 2 Ce 2.95, 3 Sm 2.96-3.01

***

Record 4
Compound: CeSm3Y2As6
Source: Alexandria via LeMat-Bulk
Functional: PBE
Structure: optimized geometry

Results
Energy = -79.21 eV per cell
DFT formation energy = -1.525 eV per atom
Density = 6.51 Mg/m³

Cell: 9.3490 9.3490 8.3715 Å, 102.99 102.99 25.88°
With the nearest neighbours (Å) after each atom.
Fractional positions:
Ce (0.0000, 0.0000, 0.0000)  6 As 2.94-2.95
Sm (0.0000, 0.0000, 0.5000)  6 As 2.97
Sm (0.3326, 0.3326, 0.1686)  6 As 2.96-2.99
Sm (0.6674, 0.6674, 0.8314)  6 As 2.96-2.99
Y (0.3322, 0.3322, 0.6646)  6 As 2.92-2.95
Y (0.6678, 0.6678, 0.3354)  6 As 2.92-2.95
As (0.1656, 0.1656, 0.0859)  1 Ce 2.94, 2 Y 2.95, 3 Sm 2.96-2.99
As (0.1677, 0.1677, 0.5802)  3 Y 2.92-2.93, 3 Sm 2.97
As (0.4987, 0.4987, 0.7516)  2 Ce 2.95, 1 Y 2.95, 3 Sm 2.97-2.99
As (0.5013, 0.5013, 0.2484)  2 Ce 2.95, 1 Y 2.95, 3 Sm 2.97-2.99
As (0.8323, 0.8323, 0.4198)  3 Y 2.92-2.93, 3 Sm 2.97
As (0.8344, 0.8344, 0.9141)  1 Ce 2.94, 2 Y 2.95, 3 Sm 2.96-2.99

***

Record 5
Compound: Ce2SmYAs4
Source: Alexandria via LeMat-Bulk
Functional: PBE
Structure: optimized geometry

Results
Energy = -53.55 eV per cell
DFT formation energy = -1.487 eV per atom
Density = 6.53 Mg/m³

Cell: 7.2550 4.1945 7.2666 Å, 90.00 109.49 90.00°
With the nearest neighbours (Å) after each atom.
Fractional positions:
Ce (0.0000, 0.0000, 0.0000)  6 As 2.96
Ce (0.0000, 0.5000, 0.5000)  6 As 2.98
Sm (0.5000, 0.0000, 0.5000)  6 As 2.97
Y (0.5000, 0.5000, 0.0000)  6 As 2.95
As (0.2497, 0.5000, 0.2473)  1 Y 2.95, 3 Ce 2.96-2.98, 2 Sm 2.97
As (0.2516, 0.0000, 0.7531)  2 Y 2.95, 3 Ce 2.96-2.98, 1 Sm 2.97
As (0.7484, 0.0000, 0.2469)  2 Y 2.95, 3 Ce 2.96-2.98, 1 Sm 2.97
As (0.7503, 0.5000, 0.7527)  1 Y 2.95, 3 Ce 2.96-2.98, 2 Sm 2.97

***

Record 6
Compound: CeSmY2As4
Source: Alexandria via LeMat-Bulk
Functional: PBE
Structure: optimized geometry

Results
Energy = -54.34 eV per cell
DFT formation energy = -1.520 eV per atom
Density = 6.22 Mg/m³

Cell: 7.2122 4.1721 7.2251 Å, 90.00 109.44 90.00°
With the nearest neighbours (Å) after each atom.
Fractional positions:
Ce (0.0000, 0.0000, 0.0000)  6 As 2.95-2.96
Sm (0.0000, 0.5000, 0.5000)  6 As 2.97
Y (0.5000, 0.0000, 0.5000)  6 As 2.94
Y (0.5000, 0.5000, 0.0000)  6 As 2.93
As (0.2540, 0.0000, 0.7531)  3 Y 2.93-2.94, 1 Ce 2.95, 2 Sm 2.97
As (0.2539, 0.5000, 0.2503)  3 Y 2.93-2.94, 2 Ce 2.96, 1 Sm 2.97
As (0.7460, 0.0000, 0.2469)  3 Y 2.93-2.94, 1 Ce 2.95, 2 Sm 2.97
As (0.7461, 0.5000, 0.7497)  3 Y 2.93-2.94, 2 Ce 2.96, 1 Sm 2.97

***

Record 7
Compound: Ce2SmZrAs4
Source: Alexandria via LeMat-Bulk
Functional: PBE
Structure: optimized geometry

Results
Energy = -54.72 eV per cell
DFT formation energy = -1.373 eV per atom
Density = 6.89 Mg/m³

Cell: 7.1376 4.1173 7.1389 Å, 90.00 109.35 90.00°
With the nearest neighbours (Å) after each atom.
Fractional positions:
Ce (0.0000, 0.0000, 0.0000)  6 As 2.91
Ce (0.0000, 0.5000, 0.5000)  6 As 3.00
Sm (0.5000, 0.0000, 0.5000)  6 As 2.92
Zr (0.5000, 0.5000, 0.0000)  6 As 2.82-2.83
As (0.2566, 0.5000, 0.2412)  1 Zr 2.82, 3 Ce 2.91-3.00, 2 Sm 2.92
As (0.2634, 0.0000, 0.7644)  2 Zr 2.83, 3 Ce 2.91-3.00, 1 Sm 2.92
As (0.7366, 0.0000, 0.2356)  2 Zr 2.83, 3 Ce 2.91-3.00, 1 Sm 2.92
As (0.7434, 0.5000, 0.7588)  1 Zr 2.82, 3 Ce 2.91-3.00, 2 Sm 2.92

***

Record 8
Compound: CeSm2ZrAs4
Source: Alexandria via LeMat-Bulk
Functional: PBE
Structure: optimized geometry

Results
Energy = -53.63 eV per cell
DFT formation energy = -1.389 eV per atom
Density = 6.98 Mg/m³

Cell: 7.1287 4.1182 7.1378 Å, 90.00 109.26 90.00°
With the nearest neighbours (Å) after each atom.
Fractional positions:
Ce (0.0000, 0.0000, 0.0000)  6 As 2.90-2.91
Sm (0.0000, 0.5000, 0.5000)  6 As 3.00
Sm (0.5000, 0.0000, 0.5000)  6 As 2.92
Zr (0.5000, 0.5000, 0.0000)  6 As 2.82-2.83
As (0.2567, 0.5000, 0.2410)  1 Zr 2.82, 2 Ce 2.91, 3 Sm 2.92-3.00
As (0.2636, 0.0000, 0.7653)  2 Zr 2.83, 1 Ce 2.90, 3 Sm 2.92-3.00
As (0.7364, 0.0000, 0.2347)  2 Zr 2.83, 1 Ce 2.90, 3 Sm 2.92-3.00
As (0.7433, 0.5000, 0.7590)  1 Zr 2.82, 2 Ce 2.91, 3 Sm 2.92-3.00